TcMoRh2 (PBEsol, relaxed); symmetry = Cmmm; formation energy = -0.15 eV/atom
1.0
2.6769 -3.8758 0.0000
2.6769 3.8758 0.0000
0.0000 0.0000 2.6803
Tc Mo Rh
1 1 2
direct
0.0000 0.0000 0.0000 Tc
0.5000 0.5000 0.0000 Mo
0.0000 0.5000 0.5000 Rh
0.5000 0.0000 0.5000 Rh